A relaxed structure of CuAu2F, computed with PBE.

Cell lengths 6.874, 6.874, 5.569 Å; angles 51.89, 51.89, 90.00 degrees
Atoms (fractional coordinates):
Au1 0.375 0.387 0.750
Au2 0.875 0.863 0.750
Au3 0.613 0.125 0.250
Au4 0.137 0.625 0.250
F1 0.500 0.500 0.000
F2 0.250 0.750 0.500
Cu1 0.000 0.000 0.000
Cu2 0.750 0.250 0.500

Values from the calculation:
As for the density of states at the Fermi level: 3.5 states/eV/cell. As for the energy relative to the lowest polymorph listed for this composition: 92.4 meV per atom. The calculation puts the raw formation energy at -0.095 eV per atom. The space group is I-42d (122). The size of the total moment is 0.00 μB/f.u.



A relaxed structure of SrTaAg, computed with PBE.

Cell lengths 7.149, 7.149, 3.262 Å; angles 76.81, 76.81, 26.38 degrees
Atoms (fractional coordinates):
Ag1 0.021 0.021 0.979
Ta1 0.645 0.645 0.355
Sr1 0.334 0.334 0.666

Values from the calculation:
As for the density of states at the Fermi level: 3.4 states/eV/cell. As for the energy relative to the lowest polymorph listed for this composition: 384.3 meV per atom. The space group is I4mm (107). The value obtained for the formation energy from the elements is 0.614 eV per atom. The size of the total moment is 0.00 μB/f.u.



A relaxed structure of InSbPb3, computed with PBE.

Cell lengths 5.942, 5.942, 5.942 Å; angles 90.00, 90.00, 90.00 degrees
Atoms (fractional coordinates):
In1 0.500 0.500 0.500
Pb1 0.000 0.500 0.000
Pb2 0.500 0.000 0.000
Pb3 0.000 0.000 0.500
Sb1 0.000 0.000 0.000

Values from the calculation:
As for the density of states at the Fermi level: 4.0 states/eV/cell. As for the energy relative to the lowest polymorph listed for this composition: 0.0 meV per atom. The calculation puts the raw formation energy at 0.527 eV per atom. The space group is Pm-3m (221). The size of the total moment is 0.00 μB/f.u.



A relaxed structure of Pu3MnC, computed with PBE.

Cell lengths 4.789, 4.789, 4.789 Å; angles 90.00, 90.00, 90.00 degrees
Atoms (fractional coordinates):
Pu1 0.500 0.000 0.000
Pu2 0.000 0.500 0.000
Pu3 0.000 0.000 0.500
Mn1 0.500 0.500 0.500
C1 0.000 0.000 0.000

Values from the calculation:
As for the density of states at the Fermi level: 19.4 states/eV/cell. The space group is Pm-3m (221). The value obtained for the formation energy from the elements is 0.445 eV per atom. The size of the total moment is 19.24 μB/f.u.



A relaxed structure of CeHo2ThSb4, computed with PBE.

Cell lengths 4.446, 7.664, 7.696 Å; angles 70.46, 90.00, 90.00 degrees
Atoms (fractional coordinates):
Sb1 0.500 0.759 0.246
Sb2 0.000 0.241 0.253
Sb3 0.500 0.241 0.754
Sb4 0.000 0.759 0.747
Ho1 0.000 0.000 0.000
Ho2 0.500 0.000 0.500
Ce1 0.500 0.500 0.000
Th1 0.000 0.500 0.500

Values from the calculation:
As for the density of states at the Fermi level: 8.6 states/eV/cell. The calculation puts the raw formation energy at -1.056 eV per atom. The space group is P2/m (10). The size of the total moment is 0.92 μB/f.u.



A relaxed structure of Pr2Y8Ho3, computed with PBE.

Cell lengths 6.774, 9.112, 8.694 Å; angles 121.60, 82.55, 90.00 degrees
Atoms (fractional coordinates):
Y1 0.289 0.799 0.598
Y2 0.868 0.418 0.835
Y3 0.568 0.431 0.225
Y4 0.132 0.582 0.165
Y5 0.711 0.201 0.402
Y6 0.432 0.206 0.775
Y7 0.568 0.794 0.225
Y8 0.432 0.569 0.775
Pr1 0.200 0.207 0.414
Pr2 0.800 0.793 0.586
Ho1 0.000 0.169 0.000
Ho2 0.500 0.000 0.000
Ho3 0.000 0.831 0.000

Values from the calculation:
As for the density of states at the Fermi level: 21.9 states/eV/cell. As for the energy relative to the lowest polymorph listed for this composition: 90.9 meV per atom. The space group is C2/m (12). The value obtained for the formation energy from the elements is 0.239 eV per atom. The size of the total moment is 0.00 μB/f.u.